No. 1
VASP calculation (PBE) on TaAlNiRh after structural relaxation.

E_form   -2.2 eV per formula unit
Density of states at the Fermi level   1.00 states/eV/atom

Cell: 6.1373 6.1373 6.1373 Å, 90.00 90.00 90.00°
Space group F-43m (No. 216)
One atom of each set of equivalent atoms:
1 Ta 0.0000 0.0000 0.0000 (multiplicity 4)
2 Al 0.0000 0.0000 0.5000 (multiplicity 4)
3 Ni 0.2500 0.2500 0.2500 (multiplicity 4)
4 Rh 0.2500 0.2500 0.7500 (multiplicity 4)

No. 2
VASP calculation (PBE) on USnTe after structural relaxation.

Relative energy among the computed polymorphs   0.00 kJ/mol of atoms
ΔE_f (raw)   -436 meV/atom
Density of states at the Fermi level   2.18 states/eV/atom

Cell: 4.2835 4.2835 17.8606 Å, 90.00 90.00 90.00°
Space group I4/mmm (No. 139)
One atom of each set of equivalent atoms:
1 U 0.0000 0.0000 0.1369 (multiplicity 4)
2 Sn 0.0000 0.5000 0.0000 (multiplicity 4)
3 Te 0.0000 0.0000 0.3169 (multiplicity 4)

No. 3
VASP calculation (PBE) on BeNbSi2 after structural relaxation.

ΔE_f (raw)   170 meV/atom
Density of states at the Fermi level   0.87 states/eV/atom

Cell: 6.7103 6.7103 5.0305 Å, 90.00 90.00 90.00°
Space group I-42d (No. 122)
One atom of each set of equivalent atoms:
1 Be 0.0000 0.0000 0.0000 (multiplicity 4)
2 Nb 0.0000 0.0000 0.5000 (multiplicity 4)
3 Si 0.1973 0.7500 0.1250 (multiplicity 8)

- density of states at the Fermi level of number 3 (BeNbSi2)?
  0.87 states/eV/atom

- Number 3 is which compound?
  BeNbSi2

- Among the records above, which one has the highest density of states at the Fermi level?
  USnTe